DFT (GGA+U) results for a relaxed TbPuNi2O6 crystal.

## Properties
**Total energy**: -7.622 eV per atom

Cell: 5.442 5.443 5.807 Å, 62.06 62.05 59.99°
Site moments in Bohr magnetons follow the coordinates.
Sites, in units of the cell vectors:
O 0.726 0.140 0.754  -0.01
O 0.617 0.236 0.243  0.00
O 0.140 0.380 0.754  0.00
Tb 0.807 0.807 0.579  0.00
O 0.903 0.617 0.243  0.00
O 0.381 0.726 0.754  0.00
Pu 0.317 0.317 0.048  3.45
Ni 0.521 0.521 0.436  1.76
O 0.236 0.903 0.243  0.00
Ni 0.013 0.013 0.961  1.76